1.
This record from Alexandria describes a geometry-optimized MgMnCo2 structure. The functional is PBE.

```
data_MgMnCo2
_chemical_formula_sum 'Mg2 Mn2 Co4'
_cell_length_a 5.197
_cell_length_b 8.025
_cell_length_c 2.589
_cell_angle_alpha 90.00
_cell_angle_beta 107.26
_cell_angle_gamma 90.00
_symmetry_space_group_name_H-M 'C 1 2/m 1'
_symmetry_Int_Tables_number 12
loop_
_symmetry_equiv_pos_as_xyz
'x,y,z'
'-x,-y,-z'
'-x,y,-z'
'x,-y,z'
'x+1/2,y+1/2,z'
'-x+1/2,-y+1/2,-z'
'-x+1/2,y+1/2,-z'
'x+1/2,-y+1/2,z'
loop_
_atom_site_label
_atom_site_fract_x
_atom_site_fract_y
_atom_site_fract_z
Mg1 0.000 0.000 0.000
Mn1 0.000 0.500 0.000
Co1 0.250 0.250 0.500
```

Values from the calculation:
Size of the total moment: 1.45 μB per atom
ρ: 6.35 g cm⁻³
ΔE_f: 0.219 eV per atom

***

2.
This record from Alexandria describes a geometry-optimized K4SmTm3Se8 structure. The functional is PBE.

```
data_K4SmTm3Se8
_chemical_formula_sum 'K12 Sm3 Tm9 Se24'
_cell_length_a 8.3954
_cell_length_b 8.3954
_cell_length_c 23.0459
_cell_angle_alpha 90.00
_cell_angle_beta 90.00
_cell_angle_gamma 120.00
_symmetry_space_group_name_H-M 'R -3 m'
_symmetry_Int_Tables_number 166
_symmetry_space_group_name_Hall '-R 3 2"'
loop_
_atom_site_label
_atom_site_fract_x
_atom_site_fract_y
_atom_site_fract_z
K1 0.0000 0.0000 0.0000
K2 0.0000 0.5000 0.0000
Sm1 0.0000 0.0000 0.5000
Tm1 0.0000 0.5000 0.5000
Se1 0.0000 0.0000 0.2339
Se2 0.0072 0.5036 0.7650
```

Values from the calculation:
Size of the total moment: 0.00 μB per atom
E_form (uncorrected): -1.751 eV per atom
ρ: 5.12 g cm⁻³

***

3.
This record from Alexandria describes a geometry-optimized AcPm5Tm4 structure. The functional is PBE.

```
data_AcPm5Tm4
_chemical_formula_sum 'Ac1 Pm5 Tm4'
_cell_length_a 3.651
_cell_length_b 3.651
_cell_length_c 25.176
_cell_angle_alpha 90.00
_cell_angle_beta 90.00
_cell_angle_gamma 90.00
_symmetry_space_group_name_H-M 'P 4/m m m'
_symmetry_Int_Tables_number 123
_symmetry_space_group_name_Hall '-P 4 2'
loop_
_atom_site_label
_atom_site_fract_x
_atom_site_fract_y
_atom_site_fract_z
Ac1 0.000 0.000 0.000
Pm1 0.500 0.500 0.111
Pm2 0.500 0.500 0.306
Pm3 0.500 0.500 0.500
Tm1 0.000 0.000 0.209
Tm2 0.000 0.000 0.403
```

Values from the calculation:
Size of the total moment: 0.00 μB per atom
ρ: 8.05 g cm⁻³
ΔE_f: 0.034 eV per atom

***

4.
This record from Alexandria describes a geometry-optimized MgTlInPt2 structure. The functional is PBE.

```
data_MgTlInPt2
_chemical_formula_sum 'Mg1 Tl1 In1 Pt2'
_cell_length_a 5.151
_cell_length_b 5.151
_cell_length_c 5.089
_cell_angle_alpha 90.00
_cell_angle_beta 90.00
_cell_angle_gamma 90.00
_symmetry_space_group_name_H-M 'P 4/m m m'
_symmetry_Int_Tables_number 123
_symmetry_space_group_name_Hall '-P 4 2'
loop_
_atom_site_label
_atom_site_fract_x
_atom_site_fract_y
_atom_site_fract_z
Mg1 0.000 0.000 0.000
Tl1 0.000 0.000 0.500
In1 0.500 0.500 0.000
Pt1 0.000 0.500 0.500
```

Values from the calculation:
Size of the total moment: 0.00 μB per atom
ρ: 9.02 g cm⁻³
ΔE_f: 0.691 eV per atom

***

5.
This record from Alexandria describes a geometry-optimized Pr2Bi4Pb structure. The functional is PBE.

```
data_Pr2Bi4Pb
_chemical_formula_sum 'Pr2 Bi4 Pb1'
_cell_length_a 4.568
_cell_length_b 4.568
_cell_length_c 11.657
_cell_angle_alpha 90.00
_cell_angle_beta 90.00
_cell_angle_gamma 90.00
_symmetry_space_group_name_H-M 'P -4 m 2'
_symmetry_Int_Tables_number 115
loop_
_symmetry_equiv_pos_as_xyz
'x,y,z'
'y,-x,-z'
'-x,-y,z'
'-y,x,-z'
'-x,y,z'
'-y,-x,-z'
'x,-y,z'
'y,x,-z'
loop_
_atom_site_label
_atom_site_fract_x
_atom_site_fract_y
_atom_site_fract_z
Pr1 0.000 0.500 0.221
Bi1 0.000 0.000 0.000
Bi2 0.000 0.500 0.698
Bi3 0.500 0.500 0.000
Pb1 0.000 0.000 0.500
```

Values from the calculation:
Size of the total moment: 0.00 μB per atom
ρ: 9.05 g cm⁻³
Polymorph energy (0 for the lowest one): 0 meV per atom
ΔE_f: -0.507 eV per atom

***

6.
This record from Alexandria describes a geometry-optimized Ac2NpPaO8 structure. The functional is PBE.

```
data_Ac2NpPaO8
_chemical_formula_sum 'Ac2 Np1 Pa1 O8'
_cell_length_a 4.064
_cell_length_b 7.796
_cell_length_c 5.785
_cell_angle_alpha 90.00
_cell_angle_beta 95.15
_cell_angle_gamma 90.00
_symmetry_space_group_name_H-M 'P 1 2/m 1'
_symmetry_Int_Tables_number 10
loop_
_symmetry_equiv_pos_as_xyz
'x,y,z'
'-x,-y,-z'
'-x,y,-z'
'x,-y,z'
loop_
_atom_site_label
_atom_site_fract_x
_atom_site_fract_y
_atom_site_fract_z
Ac1 0.000 0.249 0.000
Np1 0.500 0.500 0.500
Pa1 0.500 0.000 0.500
O1 0.047 0.000 0.276
O2 0.075 0.500 0.284
O3 0.458 0.249 0.721
```

Values from the calculation:
Size of the total moment: 0.17 μB per atom
E_form (uncorrected): -3.362 eV per atom
ρ: 9.55 g cm⁻³